1.
Entry from Alexandria via LeMat-Bulk: crystalline BeCdS2 at its relaxed geometry (GGA-PBE).

Lattice parameters (Å, degrees): 6.294 3.592 14.304 90.00 90.00 90.00
Space group Pnma (No. 62)
Inequivalent atoms, fractional coordinates:
Be  0.044  0.250  0.075 [4 per cell]
Cd  0.061  0.750  0.309 [4 per cell]
S  0.143  0.250  0.931 [4 per cell]
S  0.243  0.750  0.686 [4 per cell]

Its uncorrected formation energy is -2.78 eV per formula unit. The electronic total energy comes out at -62.72 eV for the cell shown.

---

2.
Entry from Alexandria via LeMat-Bulk: crystalline BeCdS2 at its relaxed geometry (GGA-PBE).

Lattice parameters (Å, degrees): 3.662 3.662 5.190 90.00 90.00 90.00
Space group P4/mmm (No. 123)
Inequivalent atoms, fractional coordinates:
Be  0.000  0.000  0.000 [1 per cell]
Cd  0.500  0.500  0.500 [1 per cell]
S  0.000  0.000  0.500 [1 per cell]
S  0.500  0.500  0.000 [1 per cell]

Its uncorrected formation energy is -0.93 eV per formula unit. The electronic total energy comes out at -13.83 eV for the cell shown.

---

3.
Entry from Alexandria via LeMat-Bulk: crystalline BeCdS2 at its relaxed geometry (GGA-PBE).

Lattice parameters (Å, degrees): 5.492 5.492 10.238 90.00 90.00 90.00
Space group I-42d (No. 122)
Inequivalent atoms, fractional coordinates:
Be  0.000  0.000  0.000 [4 per cell]
Cd  0.000  0.000  0.500 [4 per cell]
S  0.184  0.250  0.125 [8 per cell]

Its uncorrected formation energy is -3.25 eV per formula unit. The electronic total energy comes out at -64.57 eV for the cell shown.

---

4.
Entry from Alexandria via LeMat-Bulk: crystalline BeCd3S4 at its relaxed geometry (GGA-PBE).

Lattice parameters (Å, degrees): 5.666 5.666 11.195 90.00 90.00 90.00
Space group I-42m (No. 121)
Inequivalent atoms, fractional coordinates:
Be  0.000  0.000  0.000 [2 per cell]
Cd  0.000  0.000  0.500 [2 per cell]
Cd  0.000  0.500  0.250 [4 per cell]
S  0.217  0.217  0.889 [8 per cell]

Its uncorrected formation energy is -5.70 eV per formula unit. The electronic total energy comes out at -57.36 eV for the cell shown.

---

5.
Entry from Alexandria via LeMat-Bulk: crystalline BeCdS2 at its relaxed geometry (GGA-PBE).

Lattice parameters (Å, degrees): 6.453 6.453 6.453 90.00 90.00 90.00
Space group Fm-3m (No. 225)
Inequivalent atoms, fractional coordinates:
Be  0.000  0.000  0.000 [4 per cell]
Cd  0.000  0.000  0.500 [4 per cell]
S  0.250  0.250  0.250 [8 per cell]

Its uncorrected formation energy is 1.49 eV per formula unit. The electronic total energy comes out at -45.61 eV for the cell shown.

---

6.
Entry from Alexandria via LeMat-Bulk: crystalline BeCdS2 at its relaxed geometry (GGA-PBE).

Lattice parameters (Å, degrees): 5.254 5.254 9.870 90.00 90.00 90.00
Space group I4_1/amd (No. 141, origin choice 2)
Inequivalent atoms, fractional coordinates:
Be  0.000  0.250  0.375 [4 per cell]
Cd  0.000  0.250  0.875 [4 per cell]
S  0.000  0.250  0.157 [8 per cell]

Its uncorrected formation energy is -1.62 eV per formula unit. The electronic total energy comes out at -58.07 eV for the cell shown.

---

7.
Entry from Alexandria via LeMat-Bulk: crystalline BeCd2S2 at its relaxed geometry (GGA-PBE).

Lattice parameters (Å, degrees): 6.384 6.384 4.706 90.00 90.00 90.00
Space group P4/mbm (No. 127)
Inequivalent atoms, fractional coordinates:
Be  0.000  0.000  0.000 [2 per cell]
Cd  0.157  0.343  0.500 [4 per cell]
S  0.202  0.702  0.000 [4 per cell]

Its uncorrected formation energy is 0.26 eV per formula unit. The electronic total energy comes out at -27.11 eV for the cell shown.

---

8.
Entry from Alexandria via LeMat-Bulk: crystalline BeCdS2 at its relaxed geometry (GGA-PBE).

Lattice parameters (Å, degrees): 3.710 6.252 6.730 90.00 90.05 90.00
Space group P2_1 (No. 4)
Inequivalent atoms, fractional coordinates:
Be  0.001  0.000  0.154 [2 per cell]
Cd  0.499  0.994  0.675 [2 per cell]
S  0.000  0.162  0.880 [2 per cell]
S  0.499  0.587  0.695 [2 per cell]

Its uncorrected formation energy is -3.14 eV per formula unit. The electronic total energy comes out at -32.07 eV for the cell shown.

---

Which of these has the highest electronic total energy? number 2